Material: Ti2Co3Sn2
Method: DFT, PBE
State: optimized geometry

Cell: 4.2473 4.2473 20.6111 Å, 90.00 90.00 120.00°
Space group R3m (No. 160, hexagonal axes)
Unique sites:
Ti 0.0000 0.0000 0.0000
Ti 0.0000 0.0000 0.4933
Co 0.0000 0.0000 0.1247
Co 0.0000 0.0000 0.6188
Co 0.0000 0.0000 0.8719
Sn 0.0000 0.0000 0.2521
Sn 0.0000 0.0000 0.7435

Computed properties:
The calculation puts the calculated total energy at -143.82 eV/cell. The calculation puts the total magnetic moment at 1.02 μB per formula unit. The energy relative to the elements comes out at -39.0 kJ per mole of atoms.